(1)
## RbTi2TePd (GGA-PBE)

Data for a geometry-optimized RbTi2TePd structure.

energy relative to the elements, uncorrected: 9.86 eV/f.u.
energy: -0.224 Ry per atom

abc: 4.756 4.756 5.871
angles: 90.00 90.00 90.00
Space group P4/mmm (No. 123)
Asymmetric unit:
Rb: 0.000 0.000 0.000
Ti: 0.000 0.500 0.000
Te: 0.000 0.000 0.500
Pd: 0.500 0.500 0.500

---

(2)
## AlRh3Pb (GGA-PBE)

Data for a geometry-optimized AlRh3Pb structure.

energy: -0.340 Ry per atom
E above lowest polymorph: 5.21 eV/f.u.
energy relative to the elements: 1.272 eV/atom

abc: 4.916 4.916 4.916
angles: 90.00 90.00 90.00
Space group Pm-3m (No. 221)
Asymmetric unit:
Al: 0.000 0.000 0.000
Rh: 0.000 0.500 0.500
Pb: 0.500 0.500 0.500